1.
Here is a relaxed structure of Pm2BePt from Alexandria via LeMat-Bulk. Energies are from PBE-GGA.

a b c (Å): 3.6013 3.6013 6.9064
angles (deg): 90.00 90.00 90.00
Space group P4/mmm (No. 123)
Inequivalent atoms, fractional coordinates:
Pm 0.0000 0.0000 0.2472 (multiplicity 2)
Be 0.5000 0.5000 0.0000 (multiplicity 1)
Pt 0.5000 0.5000 0.5000 (multiplicity 1)

**N(E_F)**: 3.560 states/eV/cell
**E above lowest polymorph**: 0 meV per atom

2.
Here is a relaxed structure of Pm2BePt6 from Alexandria via LeMat-Bulk. Energies are from PBE-GGA.

a b c (Å): 10.3533 6.0396 6.0484
angles (deg): 90.00 123.69 90.00
Space group C2/m (No. 12)
Inequivalent atoms, fractional coordinates:
Pm 0.2497 0.0000 0.2422 (multiplicity 4)
Be 0.0000 0.5000 0.0000 (multiplicity 2)
Pt 0.0034 0.2380 0.2660 (multiplicity 8)
Pt 0.2383 0.0000 0.7312 (multiplicity 4)

**N(E_F)**: 4.039 states/eV/cell

3.
Here is a relaxed structure of PmBe2Pt2 from Alexandria via LeMat-Bulk. Energies are from PBE-GGA.

a b c (Å): 4.0543 4.0543 9.6679
angles (deg): 90.00 90.00 90.00
Space group P4/nmm (No. 129, origin choice 2)
Inequivalent atoms, fractional coordinates:
Pm 0.2500 0.2500 0.2488 (multiplicity 2)
Be 0.2500 0.2500 0.6236 (multiplicity 2)
Be 0.2500 0.7500 0.0000 (multiplicity 2)
Pt 0.2500 0.2500 0.8760 (multiplicity 2)
Pt 0.2500 0.7500 0.5000 (multiplicity 2)

**N(E_F)**: 5.659 states/eV/cell
**E above lowest polymorph**: 0 meV per atom

Values for E_form, eV per formula unit, ordered as above
-1.81 -8.75 -4.36